This record from Alexandria via LeMat-Bulk describes crystalline K3Al5F12 at its relaxed geometry. The functional is GGA-PBE.

Unit cell a=12.7627 b=12.7627 c=12.7627 alpha=109.47 beta=109.47 gamma=109.47
Closest atoms and distances in Å follow each position.
Element x y z (fractional)
F  0.2545  0.5123  0.6315  1 Al 1.71
F  0.6230  0.8685  0.3808  1 Al 1.71
F  0.2455  0.8685  0.9877  1 Al 1.71
Al  0.7500  0.6250  0.3750  4 F 1.71
F  0.3685  0.9877  0.7455  1 Al 1.71
F  0.6230  0.7545  0.7422  1 Al 1.71
Al  0.3750  0.1250  0.7500  4 F 1.71
Al  0.0000  0.0000  0.0000  6 F 3.04
Al  0.0000  0.5000  0.5000  6 F 3.04
F  0.7455  0.2578  0.8770  1 Al 1.71
K  0.7500  0.8750  0.6250  8 F 2.95-2.99
Al  0.0000  0.5000  0.0000  6 F 3.04
F  0.5123  0.2545  0.1315  1 Al 1.71
F  0.8685  0.2455  0.4877  1 Al 1.71
F  0.1230  0.8808  0.3685  1 Al 1.71
Al  0.6250  0.7500  0.8750  4 F 1.71
K  0.2500  0.6250  0.8750  8 F 2.95-2.99
F  0.8770  0.7578  0.7455  1 Al 1.71
Al  0.1250  0.7500  0.3750  4 F 1.71
K  0.6250  0.2500  0.3750  8 F 2.95-2.99
K  0.6250  0.3750  0.7500  8 F 2.95-2.99
F  0.6192  0.9877  0.7422  1 Al 1.71
F  0.6192  0.6315  0.3770  1 Al 1.71
F  0.7455  0.4877  0.3685  1 Al 1.71
F  0.0123  0.6315  0.7545  1 Al 1.71
Al  0.8750  0.6250  0.7500  4 F 1.71
Al  0.5000  0.0000  0.5000  6 F 3.04
K  0.3750  0.7500  0.6250  8 F 2.95-2.99
Al  0.3750  0.2500  0.1250  4 F 1.71
F  0.9877  0.6192  0.2422  1 Al 1.71
F  0.1315  0.3770  0.1192  1 Al 1.71
F  0.8685  0.6230  0.8808  1 Al 1.71
K  0.8750  0.7500  0.1250  8 F 2.95-2.99
F  0.4877  0.7455  0.8685  1 Al 1.71
F  0.7545  0.6230  0.2422  1 Al 1.71
F  0.2545  0.7422  0.1230  1 Al 1.71
F  0.8770  0.1192  0.6315  1 Al 1.71
K  0.1250  0.8750  0.7500  8 F 2.95-2.99
F  0.3770  0.2455  0.2578  1 Al 1.71
F  0.8808  0.7578  0.5123  1 Al 1.71
Al  0.6250  0.8750  0.2500  4 F 1.71
F  0.6315  0.6192  0.8770  1 Al 1.71
F  0.1192  0.8770  0.1315  1 Al 1.71
Al  0.7500  0.1250  0.8750  4 F 1.71
F  0.4877  0.7422  0.1192  1 Al 1.71
F  0.1192  0.2422  0.4877  1 Al 1.71
F  0.3808  0.3685  0.6230  1 Al 1.71
F  0.7545  0.1315  0.0123  1 Al 1.71
F  0.8808  0.1230  0.8685  1 Al 1.71
F  0.6315  0.0123  0.2545  1 Al 1.71
Al  0.1250  0.3750  0.2500  4 F 1.71
K  0.2500  0.1250  0.3750  8 F 2.95-2.99
F  0.3808  0.0123  0.2578  1 Al 1.71
F  0.2422  0.1230  0.7545  1 Al 1.71
F  0.5123  0.2578  0.8808  1 Al 1.71
F  0.7422  0.2545  0.6230  1 Al 1.71
F  0.2422  0.1192  0.9877  1 Al 1.71
F  0.2578  0.5123  0.3808  1 Al 1.71
K  0.3750  0.6250  0.2500  8 F 2.95-2.99
F  0.3685  0.3808  0.1230  1 Al 1.71
Al  0.2500  0.3750  0.6250  4 F 1.71
Al  0.2500  0.8750  0.1250  4 F 1.71
Al  0.8750  0.2500  0.6250  4 F 1.71
F  0.3770  0.1315  0.6192  1 Al 1.71
K  0.7500  0.3750  0.1250  8 F 2.95-2.99
F  0.0123  0.3808  0.7578  1 Al 1.71
Al  0.5000  0.5000  0.0000  6 F 3.04
F  0.2578  0.7455  0.3770  1 Al 1.71
F  0.2455  0.3770  0.7578  1 Al 1.71
F  0.7578  0.8808  0.0123  1 Al 1.71
Al  0.5000  0.0000  0.0000  6 F 3.04
Al  0.0000  0.0000  0.5000  6 F 3.04
F  0.1315  0.7545  0.5123  1 Al 1.71
K  0.8750  0.1250  0.2500  8 F 2.95-2.99
F  0.1230  0.2422  0.2545  1 Al 1.71
F  0.7422  0.4877  0.6192  1 Al 1.71
K  0.1250  0.2500  0.8750  8 F 2.95-2.99
Al  0.5000  0.5000  0.5000  6 F 3.04
F  0.9877  0.3685  0.2455  1 Al 1.71
F  0.7578  0.8770  0.2455  1 Al 1.71

Raw formation energy, eV/atom: -2.634
SG: Ia-3d, No. 230
Raw total energy, eV/cell: -388.54